VASP calculation (PBE-GGA) on crystalline CaTcNi3 at its relaxed geometry.

Results
The calculation puts the energy above the most stable polymorph in this dataset at 1.148 eV per atom. As for the crystal system: cubic. The value obtained for the calculated formation energy is 8.767 eV per formula unit.

a = 4.444 Å, b = 4.444 Å, c = 4.444 Å
α = 90.00°, β = 90.00°, γ = 90.00°
Positions (direct):
Ca: 0.000 0.000 0.000
Tc: 0.500 0.500 0.500
Ni: 0.000 0.000 0.500
Ni: 0.000 0.500 0.000
Ni: 0.500 0.000 0.000